[1]
Pm2Ga4GeIr3 | GGA-PBE | optimized geometry

Values from the calculation:
Fermi-level density of states = 6.3 states/eV per cell
E_form = -0.61 eV per atom

Cell lengths 4.1584, 4.1584, 10.9846 Å; angles 90.00, 90.00, 90.00 degrees
Last column: nearest neighbours and their distance in Å.
Positions (direct):
Pm  0.0000  0.5000  0.2461  6 Ir 3.19-3.48, 8 Ga 3.20-3.41, 2 Ge 3.48
Pm  0.5000  0.0000  0.7539  6 Ir 3.19-3.48, 8 Ga 3.20-3.41, 2 Ge 3.48
Ga  0.0000  0.0000  0.0000  4 Ir 2.55
Ga  0.0000  0.5000  0.6398  3 Ir 2.49-2.58, 2 Ge 2.58
Ga  0.5000  0.0000  0.3602  3 Ir 2.49-2.58, 2 Ge 2.58
Ga  0.5000  0.5000  0.0000  4 Ir 2.55
Ge  0.0000  0.0000  0.5000  4 Ga 2.58
Ir  0.0000  0.5000  0.8662  5 Ga 2.49-2.55
Ir  0.5000  0.0000  0.1338  5 Ga 2.49-2.55
Ir  0.5000  0.5000  0.5000  4 Ga 2.58



[2]
RbScCuSe3 | GGA-PBE | optimized geometry

Values from the calculation:
Fermi-level density of states = 5.8 states/eV per cell
uncorrected formation energy = -1.12 eV per atom

Cell lengths 9.2978, 3.8996, 9.8757 Å; angles 90.00, 114.81, 90.00 degrees
Last column: nearest neighbours and their distance in Å.
Positions (direct):
Rb  0.2176  0.2500  0.2428  7 Se 3.45-3.59
Rb  0.7824  0.7500  0.7572  7 Se 3.45-3.59
Sc  0.3260  0.7500  0.8566  6 Se 2.70-2.81
Sc  0.6740  0.2500  0.1434  6 Se 2.70-2.81
Cu  0.0824  0.2500  0.5990  4 Se 2.42-2.47
Cu  0.9176  0.7500  0.4010  4 Se 2.42-2.47
Se  0.1240  0.2500  0.8580  1 Cu 2.42
Se  0.2078  0.7500  0.5437  3 Cu 2.45-2.47
Se  0.4744  0.7500  0.1568  3 Sc 2.70-2.73
Se  0.5256  0.2500  0.8432  3 Sc 2.70-2.73
Se  0.7922  0.2500  0.4563  3 Cu 2.45-2.47
Se  0.8760  0.7500  0.1420  1 Cu 2.42



Copy entry 1 word for word.
Pm2Ga4GeIr3 | GGA-PBE | optimized geometry

Values from the calculation:
Fermi-level density of states = 6.3 states/eV per cell
E_form = -0.61 eV per atom

Cell lengths 4.1584, 4.1584, 10.9846 Å; angles 90.00, 90.00, 90.00 degrees
Last column: nearest neighbours and their distance in Å.
Positions (direct):
Pm  0.0000  0.5000  0.2461  6 Ir 3.19-3.48, 8 Ga 3.20-3.41, 2 Ge 3.48
Pm  0.5000  0.0000  0.7539  6 Ir 3.19-3.48, 8 Ga 3.20-3.41, 2 Ge 3.48
Ga  0.0000  0.0000  0.0000  4 Ir 2.55
Ga  0.0000  0.5000  0.6398  3 Ir 2.49-2.58, 2 Ge 2.58
Ga  0.5000  0.0000  0.3602  3 Ir 2.49-2.58, 2 Ge 2.58
Ga  0.5000  0.5000  0.0000  4 Ir 2.55
Ge  0.0000  0.0000  0.5000  4 Ga 2.58
Ir  0.0000  0.5000  0.8662  5 Ga 2.49-2.55
Ir  0.5000  0.0000  0.1338  5 Ga 2.49-2.55
Ir  0.5000  0.5000  0.5000  4 Ga 2.58